This record from Alexandria describes KEuNi4O12 after structural relaxation. The functional is GGA+U.

Calculated values
volume = 12.633 Å³ per atom
total energy = -4.95 eV/atom
M_tot = 5.2 μB/cell

abc: 5.4196 5.4196 7.7419
angles: 90.00 90.00 90.00
With the nearest neighbours (Å) after each atom.
Fractional coordinates of all 18 atoms:
1 O 0.9982 0.4996 0.5000  2 Ni 1.98
2 O 0.2685 0.2686 0.7222  2 Ni 1.94
3 O 0.0007 0.5008 0.0000  2 Ni 1.89
4 O 0.5004 0.0018 0.5000  2 Ni 1.98
5 O 0.7314 0.2686 0.7229  2 Ni 1.94
6 O 0.7314 0.7315 0.2778  2 Ni 1.94
7 O 0.7314 0.2686 0.2771  2 Ni 1.94
8 O 0.2684 0.7316 0.7216  2 Ni 1.94
9 O 0.4992 0.9993 0.0000  2 Ni 1.89
10 O 0.7314 0.7315 0.7222  2 Ni 1.94
11 O 0.2685 0.2686 0.2778  2 Ni 1.94
12 O 0.2684 0.7316 0.2784  2 Ni 1.94
13 Ni 0.0001 0.5001 0.7558  6 O 1.89-1.98
14 Ni 0.4999 0.9999 0.2442  6 O 1.89-1.98
15 Ni 0.4999 0.9999 0.7558  6 O 1.89-1.98
16 Ni 0.0001 0.5001 0.2442  6 O 1.89-1.98
17 Eu 0.5003 0.4997 0.5000  12 O 2.47-2.72
18 K 0.9995 0.0005 0.0000  12 O 2.71-2.98